No. 1
Computed, not measured: an optimized crystal structure of TaGaReW2 at the PBE level of DFT.

Output
- Calculated total energy: -9.027 eV per atom
- Formation energy: 1.620 eV/atom

```
TaGaReW2
1.0
4.548 0.000 0.000
0.000 4.548 0.000
0.000 0.000 4.491
Ta Ga Re W
1 1 1 2
Direct
0.000 0.000 0.000
0.500 0.500 0.500
0.500 0.500 0.000
0.000 0.500 0.500
0.500 0.000 0.500
```

***

No. 2
Computed, not measured: an optimized crystal structure of TaCrFe2 at the PBE level of DFT.

Output
- Calculated total energy: -9.486 eV per atom
- Formation energy: 0.114 eV/atom

```
TaCrFe2
1.0
2.600 0.000 0.000
0.000 4.151 0.000
-0.812 0.000 4.867
Ta Cr Fe
1 1 2
Direct
0.000 0.000 0.000
0.754 0.500 0.284
0.270 0.500 0.746
0.503 0.000 0.500
```

***

No. 3
Computed, not measured: an optimized crystal structure of NdSm3Sn2 at the PBE level of DFT.

Output
- Calculated total energy: -5.061 eV per atom
- E above lowest polymorph: 0.000 eV per atom
- Formation energy: -0.573 eV/atom

```
NdSm3Sn2
1.0
4.607 0.000 0.000
0.000 4.607 0.000
0.000 0.000 8.777
Nd Sm Sn
1 3 2
Direct
0.000 0.000 0.000
0.000 0.500 0.351
0.500 0.000 0.649
0.500 0.500 0.000
0.000 0.500 0.718
0.500 0.000 0.282
```

***

No. 4
Computed, not measured: an optimized crystal structure of SrLi2Pr2Tl2 at the PBE level of DFT.

Output
- Calculated total energy: -3.037 eV per atom
- Formation energy: -0.208 eV/atom

```
SrLi2Pr2Tl2
1.0
2.498 1.442 9.738
-2.498 1.442 9.738
0.000 -2.884 9.738
Sr Li Pr Tl
1 2 2 2
Direct
0.000 0.000 0.000
0.405 0.405 0.405
0.595 0.595 0.595
0.129 0.129 0.129
0.871 0.871 0.871
0.255 0.255 0.255
0.745 0.745 0.745
```

***

No. 5
Computed, not measured: an optimized crystal structure of Ac5Ru2Br2 at the PBE level of DFT.

Output
- Calculated total energy: -5.368 eV per atom
- Formation energy without anion corrections: -652 meV per atom

```
Ac5Ru2Br2
1.0
9.492 0.000 0.000
0.000 8.352 0.000
-3.890 0.000 7.678
Ac Ru Br
10 4 4
Direct
0.000 0.000 0.000
0.000 0.500 0.500
0.223 0.152 0.452
0.223 0.348 0.952
0.223 0.652 0.270
0.223 0.848 0.770
0.777 0.152 0.230
0.777 0.348 0.730
0.777 0.652 0.048
0.777 0.848 0.548
0.000 0.146 0.638
0.000 0.354 0.138
0.000 0.646 0.862
0.000 0.854 0.362
0.416 0.000 0.208
0.416 0.500 0.708
0.584 0.000 0.792
0.584 0.500 0.292
```

***

No. 6
Computed, not measured: an optimized crystal structure of Pu2Al4SiPt3 at the PBE level of DFT.

Output
- Calculated total energy: -7.487 eV per atom
- Formation energy without anion corrections: -769 meV per atom

```
Pu2Al4SiPt3
1.0
4.225 0.000 0.000
0.000 4.225 0.000
0.000 0.000 10.502
Pu Al Si Pt
2 4 1 3
Direct
0.000 0.500 0.243
0.500 0.000 0.757
0.000 0.000 0.500
0.000 0.500 0.866
0.500 0.000 0.134
0.500 0.500 0.500
0.500 0.500 0.000
0.000 0.000 0.000
0.000 0.500 0.633
0.500 0.000 0.367
```

***

No. 7
Computed, not measured: an optimized crystal structure of Ac8Nd5Mg at the PBE level of DFT.

Output
- Calculated total energy: -3.940 eV per atom
- Formation energy: 0.224 eV/atom

```
Ac8Nd5Mg
1.0
-5.193 5.193 5.426
5.193 -5.193 5.426
5.193 5.193 -5.426
Ac Nd Mg
8 5 1
Direct
0.084 0.345 0.605
0.166 0.443 0.102
0.341 0.064 0.898
0.521 0.916 0.261
0.557 0.659 0.723
0.655 0.260 0.739
0.740 0.479 0.395
0.936 0.834 0.277
0.021 0.725 0.896
0.275 0.170 0.295
0.500 0.500 0.000
0.830 0.125 0.104
0.875 0.979 0.705
0.250 0.750 0.500
```

***

No. 8
Computed, not measured: an optimized crystal structure of CdGaPd6 at the PBE level of DFT.

Output
- Calculated total energy: -4.531 eV per atom
- E above lowest polymorph: 0.191 eV per atom
- Formation energy: -0.144 eV/atom

```
CdGaPd6
1.0
3.924 -2.707 0.000
3.924 2.707 0.000
-2.660 0.000 6.726
Cd Ga Pd
1 1 6
Direct
0.000 0.000 0.000
0.500 0.500 0.500
0.059 0.572 0.208
0.152 0.152 0.439
0.428 0.941 0.792
0.572 0.059 0.208
0.848 0.848 0.561
0.941 0.428 0.792
```

***

No. 9
Computed, not measured: an optimized crystal structure of B3HRu at the PBE level of DFT.

Output
- Calculated total energy: -5.492 eV per atom
- E above lowest polymorph: 0.000 eV per atom

```
B3HRu
1.0
3.274 0.000 0.000
0.000 3.274 0.000
0.000 0.000 3.274
B H Ru
3 1 1
Direct
0.000 0.000 0.500
0.000 0.500 0.000
0.500 0.000 0.000
0.000 0.000 0.000
0.500 0.500 0.500
```

***

No. 10
Computed, not measured: an optimized crystal structure of AcCdGa2Pd5 at the PBE level of DFT.

Output
- Calculated total energy: -4.608 eV per atom
- Formation energy: -0.493 eV/atom

```
AcCdGa2Pd5
1.0
4.815 0.000 0.000
0.000 4.815 0.000
0.000 0.000 7.551
Ac Cd Ga Pd
1 1 2 5
Direct
0.000 0.000 0.000
0.000 0.000 0.500
0.500 0.500 0.337
0.500 0.500 0.663
0.000 0.500 0.277
0.000 0.500 0.723
0.500 0.000 0.277
0.500 0.000 0.723
0.500 0.500 0.000
```

***

No. 11
Computed, not measured: an optimized crystal structure of Co2CuTc at the PBE level of DFT.

Output
- Calculated total energy: -7.028 eV per atom
- E above lowest polymorph: 0.015 eV per atom
- Formation energy: 0.140 eV/atom

```
Co2CuTc
1.0
2.568 0.000 0.000
0.000 2.568 0.000
0.000 0.000 7.358
Co Cu Tc
2 1 1
Direct
0.000 0.000 0.000
0.500 0.500 0.221
0.000 0.000 0.468
0.500 0.500 0.742
```

***

No. 12
Computed, not measured: an optimized crystal structure of TbPm2PrNd5 at the PBE level of DFT.

Output
- Calculated total energy: -4.482 eV per atom
- Formation energy: 0.268 eV/atom

```
TbPm2PrNd5
1.0
-4.480 4.480 7.890
4.480 -4.480 7.890
4.480 4.480 -7.890
Tb Pm Pr Nd
2 4 2 10
Direct
0.250 0.750 0.500
0.750 0.250 0.500
0.116 0.616 0.733
0.384 0.116 0.500
0.616 0.884 0.500
0.884 0.384 0.267
0.250 0.250 0.000
0.750 0.750 0.000
0.000 0.000 0.000
0.070 0.155 0.500
0.155 0.655 0.084
0.345 0.430 0.500
0.430 0.930 0.084
0.500 0.500 0.000
0.570 0.070 0.916
0.655 0.570 0.500
0.845 0.345 0.916
0.930 0.845 0.500
```